## Mg2CrReO (PBE with a Hubbard U)

Data for a relaxed structure of Mg2CrReO.

Properties
Space group ... P4/mmm (123)
Spin magnetization ... 1.6 μB per formula unit
Uncorrected energy ... -4.104 eV per atom
Density of states at the Fermi level ... 0.69 states/eV/atom

a = 5.1183 Å, b = 4.5337 Å, c = 5.1183 Å
α = 90.00°, β = 90.00°, γ = 90.00°
Last column: nearest neighbours and their distance in Å.
Fractional positions:
Re: 0.0000 0.5000 0.0000  2 Cr 2.27
Mg: 0.0000 0.0000 0.5000  2 Cr 2.56
Mg: 0.5000 0.0000 0.0000  2 Cr 2.56
Cr: 0.0000 0.0000 0.0000  2 Re 2.27
O: 0.5000 0.5000 0.5000  8 Mg 3.42, 4 Re 3.62